1.
This record from Alexandria describes a geometry-optimized BiWOF2 structure. The functional is PBE+U.

Output
The excess energy over the best structure of this formula in the dataset comes out at 1535 meV per atom. The total energy comes out at -0.273 Ry/atom. The space group is P4/mmm. Its magnetic moment is 3.6 μB per formula unit.

```
BiWOF2
1.0
4.560 0.000 0.000
0.000 4.323 0.000
0.000 0.000 4.560
O Bi W F
1 1 1 2
Direct
0.000 0.000 0.000
0.000 0.500 0.000
0.500 0.500 0.500
0.000 0.000 0.500
0.500 0.000 0.000
```

***

2.
This record from Alexandria describes a geometry-optimized BiWOF2 structure. The functional is PBE+U.

Output
The excess energy over the best structure of this formula in the dataset comes out at 0 meV per atom. The total energy comes out at -0.386 Ry/atom. The space group is P4/mmm. Its magnetic moment is 2.9 μB per formula unit.

```
BiWOF2
1.0
4.329 0.000 0.000
0.000 4.329 0.000
0.000 0.000 4.317
O Bi W F
1 1 1 2
Direct
0.000 0.000 0.500
0.500 0.500 0.500
0.000 0.000 0.000
0.000 0.500 0.000
0.500 0.000 0.000
```

***

3.
This record from Alexandria describes a geometry-optimized BiWOF2 structure. The functional is PBE+U.

Output
The excess energy over the best structure of this formula in the dataset comes out at 691 meV per atom. The total energy comes out at -0.335 Ry/atom. The space group is P4/mmm. Its magnetic moment is 5.0 μB per formula unit.

```
BiWOF2
1.0
-1.787 3.870 1.603
-4.062 -1.175 -1.690
-1.044 -2.137 3.995
O Bi W F
1 1 1 2
Direct
0.000 0.000 0.500
0.000 0.000 0.000
0.500 0.500 0.500
0.000 0.500 0.000
0.500 0.000 0.000
```

***

4.
This record from Alexandria describes a geometry-optimized BiWO2F structure. The functional is PBE+U.

Output
The total energy comes out at -0.356 Ry/atom. The space group is P4/mmm. Its magnetic moment is 4.3 μB per formula unit.

```
BiWO2F
1.0
-0.718 -3.017 -3.256
3.555 -2.366 1.409
-2.621 -2.315 2.723
O Bi W F
2 1 1 1
Direct
0.000 0.500 0.000
0.500 0.000 0.000
0.000 0.000 0.000
0.500 0.500 0.500
0.000 0.000 0.500
```

***

5.
This record from Alexandria describes a geometry-optimized BiWO2F structure. The functional is PBE+U.

Output
The total energy comes out at -0.425 Ry/atom. The space group is P4/mmm. Its magnetic moment is 2.3 μB per formula unit.

```
BiWO2F
1.0
-1.806 3.070 -2.118
-2.528 0.722 3.203
2.890 2.832 1.642
O Bi W F
2 1 1 1
Direct
0.000 0.500 0.000
0.500 0.000 0.000
0.500 0.500 0.500
0.000 0.000 0.000
0.000 0.000 0.500
```